Entry 1:
The following is a DFT calculation (PBE) of NaNiPt2 after structural relaxation.

Cell and atoms, written as CIF:
```
data_NaNiPt2
_chemical_formula_sum 'Na1 Ni1 Pt2'
_cell_length_a 4.391
_cell_length_b 4.391
_cell_length_c 4.391
_cell_angle_alpha 60.00
_cell_angle_beta 60.00
_cell_angle_gamma 60.00
_space_group_name_H-M_alt 'P 1'
_space_group_IT_number 1
loop_
_space_group_symop_operation_xyz
'x,y,z'
loop_
_atom_site_label
_atom_site_type_symbol
_atom_site_fract_x
_atom_site_fract_y
_atom_site_fract_z
_atom_site_occupancy
Na1 Na 0.000 0.000 0.000 1
Ni1 Ni 0.500 0.500 0.500 1
Pt1 Pt 0.250 0.250 0.250 1
Pt2 Pt 0.750 0.750 0.750 1
```

Entry 2:
The following is a DFT calculation (PBE) of Tl2CrGa after structural relaxation.

Cell and atoms, written as CIF:
```
data_Tl2CrGa
_chemical_formula_sum 'Tl4 Cr2 Ga2'
_cell_length_a 7.003
_cell_length_b 7.003
_cell_length_c 7.003
_cell_angle_alpha 97.79
_cell_angle_beta 97.79
_cell_angle_gamma 136.80
_space_group_name_H-M_alt 'P 1'
_space_group_IT_number 1
loop_
_space_group_symop_operation_xyz
'x,y,z'
loop_
_atom_site_label
_atom_site_type_symbol
_atom_site_fract_x
_atom_site_fract_y
_atom_site_fract_z
_atom_site_occupancy
Tl1 Tl 0.028 0.625 0.903 1
Tl2 Tl 0.375 0.278 0.403 1
Tl3 Tl 0.722 0.125 0.097 1
Tl4 Tl 0.875 0.972 0.597 1
Cr1 Cr 0.000 0.000 0.000 1
Cr2 Cr 0.750 0.250 0.500 1
Ga1 Ga 0.250 0.750 0.500 1
Ga2 Ga 0.500 0.500 0.000 1
```

| no. | excess energy over the best structure of this formula in the dataset (eV per atom) | total moment (μB per formula unit) |
| --- | --- | --- |
| 1 | 0.0000 | 1.1 |
| 2 | 0.1068 | 3.6 |